(1)
Entry from the Alexandria database: a relaxed Ag3Sb crystal (GGA-PBEsol).

Results
total DFT energy (no corrections)	-3.61	eV per atom
energy relative to the elements, uncorrected	12.5	meV/atom
spin magnetization	0.000	μB per cell

```
data_Ag3Sb
_space_group_name_H-M_alt 'I 4/m m m'
_space_group_IT_number 139
_space_group_name_Hall '-I 4 2'
_cell_length_a 4.1959
_cell_length_b 4.1959
_cell_length_c 16.8200
_cell_angle_alpha 90.00
_cell_angle_beta 90.00
_cell_angle_gamma 90.00
loop_
_atom_site_label
_atom_site_type_symbol
_atom_site_fract_x
_atom_site_fract_y
_atom_site_fract_z
_atom_site_occupancy
Ag1 Ag 0.0000 0.0000 0.1229 1
Ag2 Ag 0.0000 0.5000 0.0000 1
Ag3 Ag 0.0000 0.5000 0.2500 1
Sb1 Sb 0.0000 0.0000 0.3730 1
```


(2)
Entry from the Alexandria database: a relaxed AgSb3 crystal (GGA-PBEsol).

Results
total DFT energy (no corrections)	-4.00	eV per atom
energy relative to the elements, uncorrected	242.1	meV/atom
ΔE to the lowest computed polymorph	171.1	meV per atom
spin magnetization	0.000	μB per cell

```
data_AgSb3
_space_group_name_H-M_alt 'I 4/m m m'
_space_group_IT_number 139
_space_group_name_Hall '-I 4 2'
_cell_length_a 5.1187
_cell_length_b 5.1187
_cell_length_c 7.3446
_cell_angle_alpha 90.00
_cell_angle_beta 90.00
_cell_angle_gamma 90.00
loop_
_atom_site_label
_atom_site_type_symbol
_atom_site_fract_x
_atom_site_fract_y
_atom_site_fract_z
_atom_site_occupancy
Ag1 Ag 0.0000 0.0000 0.0000 1
Sb1 Sb 0.0000 0.0000 0.5000 1
Sb2 Sb 0.0000 0.5000 0.2500 1
```


(3)
Entry from the Alexandria database: a relaxed Ag3Sb crystal (GGA-PBEsol).

Results
total DFT energy (no corrections)	-3.55	eV per atom
energy relative to the elements, uncorrected	72.6	meV/atom
spin magnetization	0.000	μB per cell

```
data_Ag3Sb
_space_group_name_H-M_alt 'P m m 2'
_space_group_IT_number 25
_cell_length_a 3.1447
_cell_length_b 4.6876
_cell_length_c 5.0911
_cell_angle_alpha 90.00
_cell_angle_beta 90.00
_cell_angle_gamma 90.00
loop_
_space_group_symop_operation_xyz
'x,y,z'
'-x,-y,z'
'-x,y,z'
'x,-y,z'
loop_
_atom_site_label
_atom_site_type_symbol
_atom_site_fract_x
_atom_site_fract_y
_atom_site_fract_z
_atom_site_occupancy
Ag1 Ag 0.0000 0.0000 0.0000 1
Ag2 Ag 0.0000 0.5000 0.3292 1
Ag3 Ag 0.5000 0.0000 0.4785 1
Sb1 Sb 0.5000 0.5000 0.8240 1
```


(4)
Entry from the Alexandria database: a relaxed Ag3Sb crystal (GGA-PBEsol).

Results
total DFT energy (no corrections)	-3.56	eV per atom
energy relative to the elements, uncorrected	57.9	meV/atom
spin magnetization	0.000	μB per cell

```
data_Ag3Sb
_space_group_name_H-M_alt 'P m m m'
_space_group_IT_number 47
_cell_length_a 3.1032
_cell_length_b 4.0733
_cell_length_c 5.9161
_cell_angle_alpha 90.00
_cell_angle_beta 90.00
_cell_angle_gamma 90.00
loop_
_space_group_symop_operation_xyz
'x,y,z'
'-x,-y,-z'
'-x,-y,z'
'x,y,-z'
'x,-y,-z'
'-x,y,z'
'-x,y,-z'
'x,-y,z'
loop_
_atom_site_label
_atom_site_type_symbol
_atom_site_fract_x
_atom_site_fract_y
_atom_site_fract_z
_atom_site_occupancy
Ag1 Ag 0.0000 0.0000 0.0000 1
Ag2 Ag 0.5000 0.5000 0.2363 1
Sb1 Sb 0.0000 0.0000 0.5000 1
```


(5)
Entry from the Alexandria database: a relaxed AgSb5 crystal (GGA-PBEsol).

Results
total DFT energy (no corrections)	-4.14	eV per atom
energy relative to the elements, uncorrected	211.8	meV/atom
ΔE to the lowest computed polymorph	130.2	meV per atom
spin magnetization	0.000	μB per cell

```
data_AgSb5
_space_group_name_H-M_alt 'P -6 2 m'
_space_group_IT_number 189
_space_group_name_Hall 'P -6 -2'
_cell_length_a 5.8399
_cell_length_b 5.8399
_cell_length_c 5.0819
_cell_angle_alpha 90.00
_cell_angle_beta 90.00
_cell_angle_gamma 120.00
loop_
_atom_site_label
_atom_site_type_symbol
_atom_site_fract_x
_atom_site_fract_y
_atom_site_fract_z
_atom_site_occupancy
Ag1 Ag 0.0000 0.0000 0.0000 1
Sb1 Sb 0.0000 0.7015 0.5000 1
Sb2 Sb 0.3333 0.6667 0.0000 1
```


(6)
Entry from the Alexandria database: a relaxed Ag3Sb crystal (GGA-PBEsol).

Results
total DFT energy (no corrections)	-3.55	eV per atom
energy relative to the elements, uncorrected	70.3	meV/atom
spin magnetization	0.000	μB per cell

```
data_Ag3Sb
_space_group_name_H-M_alt 'I m m 2'
_space_group_IT_number 44
_cell_length_a 3.0896
_cell_length_b 9.3437
_cell_length_c 5.2032
_cell_angle_alpha 90.00
_cell_angle_beta 90.00
_cell_angle_gamma 90.00
loop_
_space_group_symop_operation_xyz
'x,y,z'
'-x,-y,z'
'-x,y,z'
'x,-y,z'
'x+1/2,y+1/2,z+1/2'
'-x+1/2,-y+1/2,z+1/2'
'-x+1/2,y+1/2,z+1/2'
'x+1/2,-y+1/2,z+1/2'
loop_
_atom_site_label
_atom_site_type_symbol
_atom_site_fract_x
_atom_site_fract_y
_atom_site_fract_z
_atom_site_occupancy
Ag1 Ag 0.0000 0.0000 0.0000 1
Ag2 Ag 0.0000 0.2552 0.6696 1
Sb1 Sb 0.0000 0.5000 0.0041 1
```


(7)
Entry from the Alexandria database: a relaxed AgSb5 crystal (GGA-PBEsol).

Results
total DFT energy (no corrections)	-4.27	eV per atom
energy relative to the elements, uncorrected	81.5	meV/atom
ΔE to the lowest computed polymorph	0.0	meV per atom
spin magnetization	0.000	μB per cell

```
data_AgSb5
_space_group_name_H-M_alt 'C m m m'
_space_group_IT_number 65
_space_group_name_Hall '-C 2 2'
_cell_length_a 4.2306
_cell_length_b 12.7295
_cell_length_c 5.9654
_cell_angle_alpha 90.00
_cell_angle_beta 90.00
_cell_angle_gamma 90.00
loop_
_atom_site_label
_atom_site_type_symbol
_atom_site_fract_x
_atom_site_fract_y
_atom_site_fract_z
_atom_site_occupancy
Ag1 Ag 0.0000 0.0000 0.0000 1
Sb1 Sb 0.0000 0.0000 0.5000 1
Sb2 Sb 0.0000 0.3327 0.5000 1
Sb3 Sb 0.0000 0.3369 0.0000 1
```


(8)
Entry from the Alexandria database: a relaxed Ag3Sb crystal (GGA-PBEsol).

Results
total DFT energy (no corrections)	-3.53	eV per atom
energy relative to the elements, uncorrected	95.2	meV/atom
spin magnetization	0.000	μB per cell

```
data_Ag3Sb
_space_group_name_H-M_alt 'P 4/m m m'
_space_group_IT_number 123
_space_group_name_Hall '-P 4 2'
_cell_length_a 3.0134
_cell_length_b 3.0134
_cell_length_c 8.4097
_cell_angle_alpha 90.00
_cell_angle_beta 90.00
_cell_angle_gamma 90.00
loop_
_atom_site_label
_atom_site_type_symbol
_atom_site_fract_x
_atom_site_fract_y
_atom_site_fract_z
_atom_site_occupancy
Ag1 Ag 0.0000 0.0000 0.0000 1
Ag2 Ag 0.5000 0.5000 0.2251 1
Sb1 Sb 0.0000 0.0000 0.5000 1
```